No. 1
Pr2Er4Th3 after structural relaxation. Source: Alexandria via LeMat-Bulk, functional GGA-PBE.

```
9
Lattice="-0.9465 -2.9283 -1.8051 2.0691 2.4595 -1.5488 21.7283 -12.5911 9.0326" Properties=species:S:1:pos:R:3 pbc="T T T"
Er 9.5467 -6.6304 2.2245
Er 11.7593 -6.8142 4.8884
Th 7.0965 -4.1123 2.9501
Pr 2.0874 -2.3080 -0.8763
Th 21.3440 -12.3683 8.8728
Er 16.4499 -9.5323 6.8383
Th 14.1771 -9.3136 4.1494
Er 4.8675 -3.9189 0.2793
Pr 18.9377 -12.0723 6.1284
```

Properties
Formation energy from the elements = 0.082 eV per atom
Calculated density = 9.3 g/cm3
Magnetization = 0.00 μB/cell
VASP energy = -5.48 eV/atom
SG = P3m1, No. 156

---

No. 2
Pr2Er6Th after structural relaxation. Source: Alexandria via LeMat-Bulk, functional GGA-PBE.

```
18
Lattice="5.9071 1.4712 1.4243 3.7389 11.0439 -1.5433 3.7389 -1.1847 11.0881" Properties=species:S:1:pos:R:3 pbc="T T T"
Er 2.7747 0.3784 6.4902
Er 10.6102 10.9520 4.4788
Er 7.6566 4.0957 10.0890
Er 7.0457 4.0751 5.9580
Er 6.3392 7.2553 5.0111
Er 4.0922 5.3513 3.1678
Er 10.7872 11.0123 8.6571
Pr 8.5656 9.3237 6.6383
Pr 5.6120 6.2013 8.3916
Er 2.5977 0.3181 2.3119
Er 9.2927 5.9791 7.8013
Th 5.2157 2.2396 8.2870
Er 5.7283 7.2347 0.8801
Pr 7.7729 5.1291 2.5775
Th 8.1692 9.0909 2.6820
Pr 4.8193 2.0067 4.3307
Er 5.5512 3.0566 0.9552
Er 7.8336 8.2738 10.0139
```

Properties
Formation energy from the elements = 0.119 eV per atom
Calculated density = 8.7 g/cm3
Magnetization = 0.00 μB/cell
Excess energy over the best structure of this formula in the dataset = 0.050 eV/atom
VASP energy = -4.81 eV/atom
SG = C2/c, No. 15